(1)
Computed, not measured: crystalline Th3Al6Ga5 at its relaxed geometry at the PBE level of DFT.

Cell and atoms, written as CIF:
```
data_Th3Al6Ga5
_chemical_formula_sum 'Th6 Al12 Ga10'
_cell_length_a 4.254
_cell_length_b 10.453
_cell_length_c 12.800
_cell_angle_alpha 90.00
_cell_angle_beta 90.00
_cell_angle_gamma 90.00
_symmetry_space_group_name_H-M 'P 1'
_symmetry_Int_Tables_number 1
_symmetry_space_group_name_Hall 'P 1'
loop_
_atom_site_label
_atom_site_type_symbol
_atom_site_fract_x
_atom_site_fract_y
_atom_site_fract_z
Al1 Al 0.000 0.990 0.846
Al2 Al 0.500 0.387 0.831
Al3 Al 0.500 0.387 0.169
Al4 Al 0.000 0.990 0.154
Al5 Al 0.500 0.982 0.000
Al6 Al 0.500 0.531 0.000
Al7 Al 0.000 0.613 0.669
Al8 Al 0.000 0.018 0.500
Al9 Al 0.500 0.010 0.654
Al10 Al 0.000 0.613 0.331
Al11 Al 0.500 0.010 0.346
Al12 Al 0.000 0.469 0.500
Ga1 Ga 0.000 0.862 0.664
Ga2 Ga 0.500 0.138 0.836
Ga3 Ga 0.000 0.862 0.336
Ga4 Ga 0.000 0.525 0.865
Ga5 Ga 0.500 0.201 0.500
Ga6 Ga 0.500 0.475 0.635
Ga7 Ga 0.500 0.475 0.365
Ga8 Ga 0.000 0.525 0.135
Ga9 Ga 0.500 0.138 0.164
Ga10 Ga 0.000 0.799 0.000
Th1 Th 0.500 0.741 0.500
Th2 Th 0.000 0.253 0.325
Th3 Th 0.000 0.259 0.000
Th4 Th 0.500 0.747 0.175
Th5 Th 0.500 0.747 0.825
Th6 Th 0.000 0.253 0.675
```

Values from the calculation:
**Uncorrected energy**: -4.661 eV/atom
**Formation energy**: -386 meV per atom
**Magnetic moment**: 0.00 Bohr magnetons per cell
**DOS(E_F)**: 7.664 states/eV/f.u.

(2)
Computed, not measured: crystalline ThAlGa at its relaxed geometry at the PBE level of DFT.

Cell and atoms, written as CIF:
```
data_ThAlGa
_chemical_formula_sum 'Th1 Al1 Ga1'
_cell_length_a 4.160
_cell_length_b 4.160
_cell_length_c 5.209
_cell_angle_alpha 113.53
_cell_angle_beta 113.53
_cell_angle_gamma 90.00
_symmetry_space_group_name_H-M 'P 1'
_symmetry_Int_Tables_number 1
_symmetry_space_group_name_Hall 'P 1'
loop_
_atom_site_label
_atom_site_type_symbol
_atom_site_fract_x
_atom_site_fract_y
_atom_site_fract_z
Th1 Th 0.614 0.614 0.228
Ga1 Ga 0.269 0.269 0.538
Al1 Al 0.967 0.967 0.934
```

Values from the calculation:
**Uncorrected energy**: -4.751 eV/atom
**Formation energy**: -21 meV per atom
**Magnetic moment**: 0.00 Bohr magnetons per cell
**DOS(E_F)**: 3.311 states/eV/f.u.

(3)
Computed, not measured: crystalline Th3Al2Ga3 at its relaxed geometry at the PBE level of DFT.

Cell and atoms, written as CIF:
```
data_Th3Al2Ga3
_chemical_formula_sum 'Th6 Al4 Ga6'
_cell_length_a 4.351
_cell_length_b 6.078
_cell_length_c 15.040
_cell_angle_alpha 90.00
_cell_angle_beta 90.00
_cell_angle_gamma 110.98
_symmetry_space_group_name_H-M 'P 1'
_symmetry_Int_Tables_number 1
_symmetry_space_group_name_Hall 'P 1'
loop_
_atom_site_label
_atom_site_type_symbol
_atom_site_fract_x
_atom_site_fract_y
_atom_site_fract_z
Ga1 Ga 0.381 0.762 0.960
Ga2 Ga 0.644 0.287 0.750
Ga3 Ga 0.619 0.238 0.040
Ga4 Ga 0.381 0.762 0.540
Ga5 Ga 0.619 0.238 0.460
Ga6 Ga 0.356 0.713 0.250
Al1 Al 0.780 0.560 0.899
Al2 Al 0.220 0.440 0.101
Al3 Al 0.780 0.560 0.601
Al4 Al 0.220 0.440 0.399
Th1 Th 0.358 0.715 0.750
Th2 Th 0.932 0.864 0.113
Th3 Th 0.068 0.136 0.887
Th4 Th 0.068 0.136 0.613
Th5 Th 0.932 0.864 0.387
Th6 Th 0.642 0.285 0.250
```

Values from the calculation:
**Uncorrected energy**: -5.361 eV/atom
**Formation energy**: -508 meV per atom
**Magnetic moment**: 0.00 Bohr magnetons per cell
**DOS(E_F)**: 6.213 states/eV/f.u.

(4)
Computed, not measured: crystalline Th3Al9Ga2 at its relaxed geometry at the PBE level of DFT.

Cell and atoms, written as CIF:
```
data_Th3Al9Ga2
_chemical_formula_sum 'Th3 Al9 Ga2'
_cell_length_a 4.474
_cell_length_b 8.433
_cell_length_c 8.433
_cell_angle_alpha 71.96
_cell_angle_beta 74.62
_cell_angle_gamma 74.62
_symmetry_space_group_name_H-M 'P 1'
_symmetry_Int_Tables_number 1
_symmetry_space_group_name_Hall 'P 1'
loop_
_atom_site_label
_atom_site_type_symbol
_atom_site_fract_x
_atom_site_fract_y
_atom_site_fract_z
Al1 Al 0.000 0.500 0.500
Al2 Al 0.663 0.705 0.970
Al3 Al 0.663 0.970 0.705
Al4 Al 0.139 0.134 0.588
Al5 Al 0.861 0.412 0.866
Al6 Al 0.337 0.295 0.030
Al7 Al 0.861 0.866 0.412
Al8 Al 0.139 0.588 0.134
Al9 Al 0.337 0.030 0.295
Th1 Th 0.313 0.687 0.687
Th2 Th 0.687 0.313 0.313
Th3 Th 0.000 0.000 0.000
Ga1 Ga 0.500 0.708 0.292
Ga2 Ga 0.500 0.292 0.708
```

Values from the calculation:
**Uncorrected energy**: -4.758 eV/atom
**Formation energy**: -330 meV per atom
**Magnetic moment**: 0.00 Bohr magnetons per cell
**DOS(E_F)**: 6.504 states/eV/f.u.